[1]
# Na3La2BiSe6

A relaxed structure of Na3La2BiSe6 (PBE, Alexandria).

Properties
**E_form (uncorrected)**: -1417 meV/atom
**DOS(E_F)**: 0.0 states/eV per cell
**Raw total energy**: -4.634 eV/atom

Cell lengths 7.5009, 12.9952, 7.4508 Å; angles 90.00, 109.55, 90.00 degrees
Last column: nearest neighbours and their distance in Å.
Space group C2/m (No. 12)
Unique sites:
1 Na 0.0000 0.0000 0.0000 x2  6 Se 3.09-3.13
2 Na 0.0000 0.3378 0.0000 x4  6 Se 3.06-3.17
3 La 0.0000 0.1671 0.5000 x4  6 Se 3.02
4 Bi 0.0000 0.5000 0.5000 x2  6 Se 2.97-2.98
5 Se 0.2439 0.3357 0.7386 x8  1 Bi 2.98, 2 La 3.02, 3 Na 3.09-3.17
6 Se 0.2496 0.0000 0.7365 x4  1 Bi 2.97, 2 La 3.02, 3 Na 3.06-3.13

=====

[2]
# NaLa2SiBi

A relaxed structure of NaLa2SiBi (PBE, Alexandria).

Properties
**E_form (uncorrected)**: 224 meV/atom
**DOS(E_F)**: 1.3 states/eV per cell
**Raw total energy**: -3.872 eV/atom

Cell lengths 6.1149, 6.1149, 5.3404 Å; angles 90.00, 90.00, 90.00 degrees
Last column: nearest neighbours and their distance in Å.
Space group P4/mmm (No. 123)
Unique sites:
1 Na 0.0000 0.0000 0.0000 x1  2 Bi 2.67
2 La 0.0000 0.5000 0.5000 x2  2 Bi 3.06
3 Si 0.5000 0.5000 0.0000 x1  8 La 4.06, 4 Na 4.32
4 Bi 0.0000 0.0000 0.5000 x1  2 Na 2.67

=====

[3]
# NaLaSnBi

A relaxed structure of NaLaSnBi (PBE, Alexandria).

Properties
**DOS(E_F)**: 14.4 states/eV per cell
**Raw total energy**: -3.975 eV/atom
**E_form**: -43 kJ/mol of atoms

Cell lengths 7.8609, 7.8609, 7.8609 Å; angles 90.00, 90.00, 90.00 degrees
Last column: nearest neighbours and their distance in Å.
Space group F-43m (No. 216)
Unique sites:
1 Na 0.0000 0.0000 0.0000 x4  4 Bi 3.40, 4 Sn 3.40
2 La 0.0000 0.0000 0.5000 x4  4 Sn 3.40, 4 Bi 3.40
3 Sn 0.2500 0.2500 0.2500 x4  4 Na 3.40, 4 La 3.40
4 Bi 0.2500 0.2500 0.7500 x4  4 La 3.40, 4 Na 3.40

=====

[4]
# NaLaTh2Bi4

A relaxed structure of NaLaTh2Bi4 (PBE, Alexandria).

Properties
**DOS(E_F)**: 2.2 states/eV per cell
**Raw total energy**: -5.204 eV/atom
**E_form**: -61 kJ/mol of atoms

Cell lengths 8.0140, 4.6488, 8.1104 Å; angles 90.00, 109.00, 90.00 degrees
Last column: nearest neighbours and their distance in Å.
Space group P2/m (No. 10)
Unique sites:
1 Na 0.0000 0.0000 0.0000 x1  6 Bi 3.29-3.34
2 La 0.5000 0.5000 0.0000 x1  6 Bi 3.33
3 Th 0.0000 0.5000 0.5000 x1  6 Bi 3.24-3.27
4 Th 0.5000 0.0000 0.5000 x1  6 Bi 3.25-3.27
5 Bi 0.2458 0.0000 0.7446 x2  3 Th 3.27, 1 Na 3.29, 2 La 3.33
6 Bi 0.2533 0.5000 0.2602 x2  3 Th 3.24-3.25, 1 La 3.33, 2 Na 3.34

=====

[5]
# Na2LaTlBi2

A relaxed structure of Na2LaTlBi2 (PBE, Alexandria).

Properties
**DOS(E_F)**: 1.3 states/eV per cell
**Raw total energy**: -3.407 eV/atom
**E_form**: -44 kJ/mol of atoms

Cell lengths 4.6329, 9.7176, 8.9025 Å; angles 90.00, 90.00, 90.00 degrees
Last column: nearest neighbours and their distance in Å.
Space group Pmc2_1 (No. 26)
Unique sites:
1 Na 0.0000 0.0784 0.0000 x2  3 Bi 3.31-3.63, 1 Tl 3.32, 2 Na 3.63
2 Na 0.5000 0.1948 0.2871 x2  3 Bi 3.13-3.44, 2 Tl 3.29
3 La 0.5000 0.4277 0.8740 x2  5 Bi 3.18-3.39
4 Tl 0.0000 0.2609 0.5386 x2  3 Bi 3.21-3.22, 3 Na 3.29-3.32
5 Bi 0.0000 0.4247 0.1517 x2  1 Tl 3.22, 4 La 3.37-3.39, 2 Na 3.44
6 Bi 0.5000 0.1247 0.7391 x2  3 Na 3.13-3.31, 1 La 3.18, 2 Tl 3.21

=====

[6]
# NaLaTlBi

A relaxed structure of NaLaTlBi (PBE, Alexandria).

Properties
**DOS(E_F)**: 12.8 states/eV per cell
**Raw total energy**: -3.530 eV/atom
**E_form**: -39 kJ/mol of atoms

Cell lengths 7.8947, 7.8947, 7.8947 Å; angles 90.00, 90.00, 90.00 degrees
Last column: nearest neighbours and their distance in Å.
Space group F-43m (No. 216)
Unique sites:
1 Na 0.0000 0.0000 0.0000 x4  4 Tl 3.42, 4 Bi 3.42
2 La 0.0000 0.0000 0.5000 x4  4 Tl 3.42, 4 Bi 3.42
3 Tl 0.2500 0.2500 0.7500 x4  4 La 3.42, 4 Na 3.42
4 Bi 0.2500 0.2500 0.2500 x4  4 La 3.42, 4 Na 3.42

=====

[7]
# Na2LaBiW

A relaxed structure of Na2LaBiW (PBE, Alexandria).

Properties
**DOS(E_F)**: 5.0 states/eV per cell
**Raw total energy**: -3.880 eV/atom
**E_form**: 96 kJ/mol of atoms

Cell lengths 5.6226, 5.6226, 5.3776 Å; angles 90.00, 90.00, 90.00 degrees
Last column: nearest neighbours and their distance in Å.
Space group P4/mmm (No. 123)
Unique sites:
1 Na 0.0000 0.5000 0.0000 x2  2 W 2.81
2 La 0.0000 0.0000 0.5000 x1  2 W 2.69
3 Bi 0.5000 0.5000 0.5000 x1  8 Na 3.89, 4 La 3.98
4 W 0.0000 0.0000 0.0000 x1  2 La 2.69, 4 Na 2.81

=====

[8]
# LaNbBi2

A relaxed structure of LaNbBi2 (PBE, Alexandria).

Properties
**DOS(E_F)**: 27.9 states/eV per cell
**Raw total energy**: -5.321 eV/atom
**E_form**: 36 kJ/mol of atoms
**Energy relative to the lowest polymorph listed for this composition**: 508 meV per atom

Cell lengths 6.1470, 6.1470, 16.3807 Å; angles 90.00, 90.00, 90.00 degrees
Last column: nearest neighbours and their distance in Å.
Space group I-42d (No. 122)
Unique sites:
1 La 0.0000 0.0000 0.0000 x4  4 Bi 3.25
2 Nb 0.0000 0.0000 0.5000 x4  4 Bi 2.77
3 Bi 0.1733 0.2500 0.6250 x8  2 Nb 2.77

=====

[9]
# LaNbBi2

A relaxed structure of LaNbBi2 (PBE, Alexandria).

Properties
**DOS(E_F)**: 16.2 states/eV per cell
**Raw total energy**: -5.570 eV/atom
**E_form**: 12 kJ/mol of atoms
**Energy relative to the lowest polymorph listed for this composition**: 260 meV per atom

Cell lengths 3.5156, 3.5156, 33.2420 Å; angles 90.00, 90.00, 120.00 degrees
Last column: nearest neighbours and their distance in Å.
Space group R-3m (No. 166, hexagonal axes)
Unique sites:
1 La 0.0000 0.0000 0.0000 x3  2 Bi 3.39, 6 La 3.52
2 Nb 0.0000 0.0000 0.5000 x3  6 Bi 2.96
3 Bi 0.0000 0.0000 0.1019 x6  3 Nb 2.96

=====

[10]
# LaNbBi2

A relaxed structure of LaNbBi2 (PBE, Alexandria).

Properties
**DOS(E_F)**: 17.8 states/eV per cell
**Raw total energy**: -5.830 eV/atom
**E_form**: -13 kJ/mol of atoms
**Energy relative to the lowest polymorph listed for this composition**: 0 meV per atom

Cell lengths 7.5538, 7.5538, 7.5538 Å; angles 90.00, 90.00, 90.00 degrees
Last column: nearest neighbours and their distance in Å.
Space group Fm-3m (No. 225)
Unique sites:
1 La 0.0000 0.0000 0.0000 x4  8 Bi 3.27
2 Nb 0.0000 0.0000 0.5000 x4  8 Bi 3.27
3 Bi 0.2500 0.2500 0.2500 x8  4 Nb 3.27, 4 La 3.27

=====

[11]
# LaNb2Bi

A relaxed structure of LaNb2Bi (PBE, Alexandria).

Properties
**DOS(E_F)**: 17.3 states/eV per cell
**Raw total energy**: -6.475 eV/atom
**E_form**: 74 kJ/mol of atoms

Cell lengths 8.3761, 8.3761, 6.0988 Å; angles 90.00, 90.00, 90.00 degrees
Last column: nearest neighbours and their distance in Å.
Space group I-42d (No. 122)
Unique sites:
1 La 0.0000 0.0000 0.0000 x4  2 Bi 3.05, 4 Nb 3.30
2 Nb 0.2092 0.7500 0.6250 x8  2 Bi 2.84, 2 Nb 3.12
3 Bi 0.0000 0.0000 0.5000 x4  4 Nb 2.84, 2 La 3.05

=====

[12]
# LaNbNi2Bi

A relaxed structure of LaNbNi2Bi (PBE, Alexandria).

Properties
**DOS(E_F)**: 5.2 states/eV per cell
**Raw total energy**: -5.389 eV/atom
**E_form**: 67 kJ/mol of atoms

Cell lengths 4.7105, 4.7105, 5.5139 Å; angles 90.00, 90.00, 90.00 degrees
Last column: nearest neighbours and their distance in Å.
Space group P4/mmm (No. 123)
Unique sites:
1 La 0.0000 0.0000 0.0000 x1  2 Nb 2.76
2 Nb 0.0000 0.0000 0.5000 x1  4 Ni 2.36
3 Ni 0.0000 0.5000 0.5000 x2  2 Nb 2.36
4 Bi 0.5000 0.5000 0.0000 x1  4 La 3.33, 8 Ni 3.63